Entry 1:
## CaHgH2 (PBE)

Data for a relaxed CaHgH2 crystal.

D(E_F)   0.0 states/eV per cell
Total DFT energy (no corrections)   -9.64 eV/f.u.
V   22.29 A^3/atom

abc: 6.9884 6.9884 6.9884
angles: 133.17 133.17 68.39
Element x y z (fractional)
Ca (0.0000, 0.0000, 0.0000)
Ca (0.7500, 0.2500, 0.5000)
Hg (0.2500, 0.7500, 0.5000)
Hg (0.5000, 0.5000, 0.0000)
H (0.3750, 0.2426, 0.3676)
H (0.7574, 0.1250, 0.1324)
H (0.8750, 0.0074, 0.6324)
H (0.9926, 0.6250, 0.8676)

Entry 2:
## LaMoC3 (PBE)

Data for a relaxed LaMoC3 crystal.

D(E_F)   5.1 states/eV per cell
Total DFT energy (no corrections)   -27.80 eV/f.u.
Formation enthalpy at 0 K   3.127 eV per atom
V   15.04 A^3/atom

abc: 4.2209 4.2209 4.2209
angles: 90.00 90.00 90.00
Element x y z (fractional)
La (0.0000, 0.0000, 0.0000)
Mo (0.5000, 0.5000, 0.5000)
C (0.0000, 0.0000, 0.5000)
C (0.0000, 0.5000, 0.0000)
C (0.5000, 0.0000, 0.0000)

Entry 3:
## AgAsPbBr2 (PBE)

Data for a relaxed AgAsPbBr2 crystal.

D(E_F)   4.6 states/eV per cell
Total DFT energy (no corrections)   -13.79 eV/f.u.
ΔE_f (raw)   153.0 meV per atom
V   29.11 A^3/atom

abc: 5.2803 5.2803 5.2200
angles: 90.00 90.00 90.00
Element x y z (fractional)
Ag (0.0000, 0.0000, 0.0000)
As (0.0000, 0.0000, 0.5000)
Pb (0.5000, 0.5000, 0.5000)
Br (0.0000, 0.5000, 0.0000)
Br (0.5000, 0.0000, 0.0000)

Entry 4:
## Tm3Tl4BiTe8 (PBE)

Data for a relaxed Tm3Tl4BiTe8 crystal.

D(E_F)   0.0 states/eV per cell
Total DFT energy (no corrections)   -65.41 eV/f.u.
ΔE_f (raw)   -844.6 meV per atom
V   35.03 A^3/atom

abc: 9.6335 9.6335 9.6335
angles: 55.12 55.12 55.12
Element x y z (fractional)
Tm (0.0000, 0.5000, 0.5000)
Tm (0.5000, 0.0000, 0.5000)
Tm (0.5000, 0.5000, 0.0000)
Tl (0.0000, 0.0000, 0.5000)
Tl (0.0000, 0.5000, 0.0000)
Tl (0.5000, 0.0000, 0.0000)
Tl (0.5000, 0.5000, 0.5000)
Bi (0.0000, 0.0000, 0.0000)
Te (0.2416, 0.2416, 0.7297)
Te (0.2416, 0.7297, 0.2416)
Te (0.2634, 0.2634, 0.2634)
Te (0.2703, 0.7584, 0.7584)
Te (0.7297, 0.2416, 0.2416)
Te (0.7366, 0.7366, 0.7366)
Te (0.7584, 0.2703, 0.7584)
Te (0.7584, 0.7584, 0.2703)

Entry 5:
## MgTl2NiI (PBE)

Data for a relaxed MgTl2NiI crystal.

D(E_F)   4.7 states/eV per cell
Total DFT energy (no corrections)   -11.78 eV/f.u.
ΔE_f (raw)   375.9 meV per atom
V   32.57 A^3/atom

abc: 5.8820 5.8820 4.7075
angles: 90.00 90.00 90.00
Element x y z (fractional)
Mg (0.0000, 0.0000, 0.0000)
Tl (0.0000, 0.5000, 0.0000)
Tl (0.5000, 0.0000, 0.0000)
Ni (0.0000, 0.0000, 0.5000)
I (0.5000, 0.5000, 0.5000)

Entry 6:
## CeSm3Ir3 (PBE)

Data for a relaxed CeSm3Ir3 crystal.

D(E_F)   10.9 states/eV per cell
Total DFT energy (no corrections)   -51.34 eV/f.u.
Formation enthalpy at 0 K   -0.667 eV per atom
V   25.91 A^3/atom

abc: 7.6093 7.6093 7.6093
angles: 67.73 67.73 67.73
Element x y z (fractional)
Ce (0.1764, 0.1764, 0.1764)
Ce (0.8236, 0.8236, 0.8236)
Sm (0.1315, 0.6808, 0.3786)
Sm (0.3192, 0.6214, 0.8685)
Sm (0.3786, 0.1315, 0.6808)
Sm (0.6214, 0.8685, 0.3192)
Sm (0.6808, 0.3786, 0.1315)
Sm (0.8685, 0.3192, 0.6214)
Ir (0.0544, 0.4503, 0.8097)
Ir (0.1903, 0.9456, 0.5497)
Ir (0.4503, 0.8097, 0.0544)
Ir (0.5497, 0.1903, 0.9456)
Ir (0.8097, 0.0544, 0.4503)
Ir (0.9456, 0.5497, 0.1903)

Entry 7:
## CaHoAgBr6 (PBE)

Data for a relaxed CaHoAgBr6 crystal.

D(E_F)   0.0 states/eV per cell
Total DFT energy (no corrections)   -33.49 eV/f.u.
ΔE_f (raw)   -1558.4 meV per atom
V   32.23 A^3/atom

abc: 7.2069 7.2069 12.8963
angles: 90.00 90.00 120.00
Element x y z (fractional)
Ca (0.3333, 0.6667, 0.2500)
Ca (0.6667, 0.3333, 0.7500)
Ho (0.3333, 0.6667, 0.7500)
Ho (0.6667, 0.3333, 0.2500)
Ag (0.0000, 0.0000, 0.0000)
Ag (0.0000, 0.0000, 0.5000)
Br (0.0118, 0.3486, 0.6264)
Br (0.0118, 0.6633, 0.8736)
Br (0.3367, 0.3486, 0.8736)
Br (0.3367, 0.9882, 0.6264)
Br (0.3486, 0.0118, 0.1264)
Br (0.3486, 0.3367, 0.3736)
Br (0.6514, 0.6633, 0.6264)
Br (0.6514, 0.9882, 0.8736)
Br (0.6633, 0.0118, 0.3736)
Br (0.6633, 0.6514, 0.1264)
Br (0.9882, 0.3367, 0.1264)
Br (0.9882, 0.6514, 0.3736)

Entry 8:
## SnIrPtI (PBE)

Data for a relaxed SnIrPtI crystal.

D(E_F)   2.9 states/eV per cell
Total DFT energy (no corrections)   -19.86 eV/f.u.
ΔE_f (raw)   149.3 meV per atom
V   25.36 A^3/atom

abc: 4.3516 4.3516 7.4276
angles: 114.27 114.27 54.42
Element x y z (fractional)
Sn (0.0000, 0.0000, 0.0000)
Ir (0.5153, 0.5153, 0.3140)
Pt (0.7606, 0.7606, 0.1657)
I (0.2168, 0.2168, 0.5672)

Entry 9:
## Fe3Co2 (PBE)

Data for a relaxed Fe3Co2 crystal.

D(E_F)   4.4 states/eV per cell
Total DFT energy (no corrections)   -39.29 eV/f.u.
Formation enthalpy at 0 K   0.062 eV per atom
V   11.53 A^3/atom

abc: 10.1923 10.1923 10.1923
angles: 14.48 14.48 14.48
Element x y z (fractional)
Fe (0.0000, 0.0000, 0.0000)
Fe (0.2010, 0.2010, 0.2010)
Fe (0.7990, 0.7990, 0.7990)
Co (0.3996, 0.3996, 0.3996)
Co (0.6004, 0.6004, 0.6004)

Entry 10:
## Lu2GeOs (PBE)

Data for a relaxed Lu2GeOs crystal.

D(E_F)   1.6 states/eV per cell
Total DFT energy (no corrections)   -26.95 eV/f.u.
Formation enthalpy at 0 K   -0.515 eV per atom
V   20.01 A^3/atom

abc: 3.4190 3.4190 6.8481
angles: 90.00 90.00 90.00
Element x y z (fractional)
Lu (0.0000, 0.0000, 0.2347)
Lu (0.0000, 0.0000, 0.7653)
Ge (0.5000, 0.5000, 0.5000)
Os (0.5000, 0.5000, 0.0000)

Entry 11:
## KZrBe2 (PBE)

Data for a relaxed KZrBe2 crystal.

D(E_F)   2.5 states/eV per cell
Total DFT energy (no corrections)   -14.76 eV/f.u.
Formation enthalpy at 0 K   0.584 eV per atom
V   22.89 A^3/atom

abc: 3.0712 3.9921 7.6153
angles: 90.00 101.24 90.00
Element x y z (fractional)
K (0.0000, 0.0000, 0.0000)
Zr (0.7262, 0.5000, 0.4355)
Be (0.2896, 0.0000, 0.5664)
Be (0.3508, 0.5000, 0.6937)

Entry 12:
## MgInSi (PBE)

Data for a relaxed MgInSi crystal.

D(E_F)   1.7 states/eV per cell
Total DFT energy (no corrections)   -9.61 eV/f.u.
ΔE_f (raw)   47.8 meV per atom
V   21.53 A^3/atom

abc: 6.8971 6.8971 5.4747
angles: 98.74 98.74 30.15
Element x y z (fractional)
Mg (0.1550, 0.1550, 0.3481)
Mg (0.8450, 0.8450, 0.6519)
In (0.4530, 0.4530, 0.2300)
In (0.5470, 0.5470, 0.7700)
Si (0.2157, 0.2157, 0.8615)
Si (0.7843, 0.7843, 0.1385)

Entry 13:
## CuSiPt (PBE)

Data for a relaxed CuSiPt crystal.

D(E_F)   2.0 states/eV per cell
Total DFT energy (no corrections)   -16.47 eV/f.u.
ΔE_f (raw)   -302.6 meV per atom
V   15.25 A^3/atom

abc: 4.0956 4.0956 6.6744
angles: 107.37 107.37 60.60
Element x y z (fractional)
Cu (0.0000, 0.0000, 0.0000)
Cu (0.0007, 0.0007, 0.4993)
Si (0.4137, 0.4137, 0.2766)
Si (0.5860, 0.5860, 0.7228)
Pt (0.2960, 0.2960, 0.8417)
Pt (0.7039, 0.7039, 0.1580)

Entry 14:
## HgBiTe2 (PBE)

Data for a relaxed HgBiTe2 crystal.

D(E_F)   2.9 states/eV per cell
Total DFT energy (no corrections)   -9.66 eV/f.u.
ΔE_f (raw)   200.3 meV per atom
V   34.02 A^3/atom

abc: 10.1729 10.1729 10.1729
angles: 22.57 22.57 22.57
Element x y z (fractional)
Hg (0.0000, 0.0000, 0.0000)
Bi (0.5000, 0.5000, 0.5000)
Te (0.3970, 0.3970, 0.3970)
Te (0.6030, 0.6030, 0.6030)

Entry 15:
## In4FeCo2 (PBE)

Data for a relaxed In4FeCo2 crystal.

D(E_F)   7.9 states/eV per cell
Total DFT energy (no corrections)   -29.92 eV/f.u.
Formation enthalpy at 0 K   0.530 eV per atom
V   22.35 A^3/atom

abc: 7.2307 7.2307 7.2307
angles: 139.74 139.74 58.25
Element x y z (fractional)
In (0.0000, 0.5000, 0.5000)
In (0.2050, 0.2050, 0.0000)
In (0.5000, 0.0000, 0.5000)
In (0.7950, 0.7950, 0.0000)
Fe (0.0000, 0.0000, 0.0000)
Co (0.4112, 0.4112, 0.0000)
Co (0.5888, 0.5888, 0.0000)

Entry 16:
## AcBi3 (PBE)

Data for a relaxed AcBi3 crystal.

D(E_F)   2.4 states/eV per cell
Total DFT energy (no corrections)   -16.98 eV/f.u.
Formation enthalpy at 0 K   -0.308 eV per atom
V   34.44 A^3/atom

abc: 5.7971 5.7971 5.7971
angles: 60.00 60.00 60.00
Element x y z (fractional)
Ac (0.0000, 0.0000, 0.0000)
Bi (0.2500, 0.2500, 0.2500)
Bi (0.5000, 0.5000, 0.5000)
Bi (0.7500, 0.7500, 0.7500)

Entry 17:
## Rb2CaBi2 (PBE)

Data for a relaxed Rb2CaBi2 crystal.

D(E_F)   0.3 states/eV per cell
Total DFT energy (no corrections)   -13.80 eV/f.u.
Formation enthalpy at 0 K   -0.420 eV per atom
V   43.39 A^3/atom

abc: 8.4359 8.4359 6.0971
angles: 90.00 90.00 90.00
Element x y z (fractional)
Rb (0.1615, 0.3385, 0.0000)
Rb (0.3385, 0.8385, 0.0000)
Rb (0.6615, 0.1615, 0.0000)
Rb (0.8385, 0.6615, 0.0000)
Ca (0.0000, 0.0000, 0.5000)
Ca (0.5000, 0.5000, 0.5000)
Bi (0.1328, 0.6328, 0.5000)
Bi (0.3672, 0.1328, 0.5000)
Bi (0.6328, 0.8672, 0.5000)
Bi (0.8672, 0.3672, 0.5000)

Entry 18:
## Cd2SbHPt6 (PBE)

Data for a relaxed Cd2SbHPt6 crystal.

D(E_F)   4.1 states/eV per cell
Total DFT energy (no corrections)   -47.60 eV/f.u.
V   18.05 A^3/atom

abc: 7.3005 7.3005 7.3005
angles: 45.52 45.52 45.52
Element x y z (fractional)
Cd (0.0000, 0.0000, 0.0000)
Cd (0.4752, 0.4752, 0.4752)
Sb (0.2343, 0.2343, 0.2343)
H (0.6352, 0.6352, 0.6352)
Pt (0.0133, 0.5070, 0.5070)
Pt (0.4694, 0.9607, 0.9607)
Pt (0.5070, 0.0133, 0.5070)
Pt (0.5070, 0.5070, 0.0133)
Pt (0.9607, 0.4694, 0.9607)
Pt (0.9607, 0.9607, 0.4694)

Entry 19:
## LiZnSi2 (PBE)

Data for a relaxed LiZnSi2 crystal.

D(E_F)   1.2 states/eV per cell
Total DFT energy (no corrections)   -13.65 eV/f.u.
ΔE_f (raw)   96.4 meV per atom
V   14.67 A^3/atom

abc: 4.5517 4.5517 4.8253
angles: 101.19 101.19 36.86
Element x y z (fractional)
Li (0.0000, 0.0000, 0.0000)
Zn (0.5000, 0.5000, 0.5000)
Si (0.2455, 0.2455, 0.7678)
Si (0.7545, 0.7545, 0.2322)

Entry 20:
## MnTc2SbC (PBE)

Data for a relaxed MnTc2SbC crystal.

D(E_F)   3.4 states/eV per cell
Total DFT energy (no corrections)   -42.70 eV/f.u.
ΔE_f (raw)   109.4 meV per atom
V   13.57 A^3/atom

abc: 4.1877 4.1877 3.8695
angles: 90.00 90.00 90.00
Element x y z (fractional)
Mn (0.0000, 0.0000, 0.0000)
Tc (0.0000, 0.5000, 0.5000)
Tc (0.5000, 0.0000, 0.5000)
Sb (0.5000, 0.5000, 0.0000)
C (0.0000, 0.0000, 0.5000)